VASP calculation (SCAN) on Tl2Cr3O12 at its PBEsol-relaxed geometry.

Cell lengths 8.7918, 8.7541, 12.9132 Å; angles 90.00, 90.00, 90.00 degrees
Sites, in units of the cell vectors:
Cr 0.7500 0.6064 0.0000
Cr 0.4703 0.8827 0.8321
Cr 0.9703 0.1173 0.8321
Cr 0.7500 0.1064 0.5000
Cr 0.5297 0.1173 0.1679
Cr 0.4703 0.3827 0.6679
Cr 0.0297 0.8827 0.1679
Cr 0.5297 0.6173 0.3321
Cr 0.9703 0.6173 0.6679
Cr 0.2500 0.8936 0.5000
Cr 0.0297 0.3827 0.3321
Cr 0.2500 0.3936 0.0000
O 0.3572 0.0012 0.4260
O 0.6346 0.0179 0.2402
O 0.0774 0.7334 0.7387
O 0.1428 0.0012 0.5740
O 0.6423 0.7220 0.4165
O 0.8654 0.5179 0.7402
O 0.3578 0.7818 0.5726
O 0.9226 0.2666 0.2613
O 0.6346 0.5179 0.2598
O 0.1422 0.2818 0.0726
O 0.5835 0.4942 0.5993
O 0.8572 0.9988 0.4260
O 0.5774 0.7666 0.7613
O 0.9226 0.7666 0.2387
O 0.1423 0.7780 0.0835
O 0.1423 0.2780 0.4165
O 0.8572 0.4988 0.0740
O 0.8578 0.7182 0.9274
O 0.9165 0.4942 0.4007
O 0.4226 0.7334 0.2613
O 0.0835 0.5058 0.5993
O 0.0774 0.2334 0.7613
O 0.4165 0.0058 0.0993
O 0.3572 0.5012 0.0740
O 0.3578 0.2818 0.9274
O 0.8577 0.2220 0.9165
O 0.4226 0.2334 0.2387
O 0.4165 0.5058 0.4007
O 0.0835 0.0058 0.9007
O 0.6423 0.2220 0.0835
O 0.1428 0.5012 0.9260
O 0.8578 0.2182 0.5726
O 0.3654 0.9821 0.7598
O 0.6422 0.7182 0.0726
O 0.3654 0.4821 0.7402
O 0.6428 0.9988 0.5740
O 0.6428 0.4988 0.9260
O 0.8654 0.0179 0.7598
O 0.9165 0.9942 0.0993
O 0.5835 0.9942 0.9007
O 0.1346 0.9821 0.2402
O 0.3577 0.2780 0.5835
O 0.1346 0.4821 0.2598
O 0.5774 0.2666 0.7387
O 0.1422 0.7818 0.4274
O 0.8577 0.7220 0.5835
O 0.3577 0.7780 0.9165
O 0.6422 0.2182 0.4274
Tl 0.6028 0.2465 0.9074
Tl 0.6028 0.7465 0.5926
Tl 0.1028 0.7535 0.9074
Tl 0.3972 0.7535 0.0926
Tl 0.1028 0.2535 0.5926
Tl 0.8972 0.7465 0.4074
Tl 0.3972 0.2535 0.4074
Tl 0.8972 0.2465 0.0926

## Properties
Space-group type ... No. 60
Size of the total moment ... 0.00 Bohr magnetons per cell
Crystal system ... orthorhombic
Fermi-level density of states ... 0.00 states/eV/cell
Raw formation energy ... -1.4585 eV/atom
DFT total energy ... -17.614 eV/atom

---

VASP calculation (SCAN) on BeSi3 at its PBEsol-relaxed geometry.

Cell lengths 2.5145, 2.5145, 8.0920 Å; angles 90.00, 90.00, 90.92 degrees
Sites, in units of the cell vectors:
Si 0.0000 0.0000 0.5000
Si 0.5000 0.5000 0.7850
Si 0.5000 0.5000 0.2150
Be 0.0000 0.0000 0.0000

## Properties
Space-group type ... No. 65
Size of the total moment ... 0.00 Bohr magnetons per cell
Crystal system ... orthorhombic
Fermi-level density of states ... 1.41 states/eV/cell
E above lowest polymorph ... 0.0000 eV per atom
Raw formation energy ... 0.5447 eV/atom
DFT total energy ... -8.056 eV/atom